[1]
## Pm4Sn3 (GGA-PBE)

Data for a geometry-optimized Pm4Sn3 structure.

Values from the calculation:
Electronic total energy   -5.180 eV per atom
Space-group type   No. 220
Calculated formation energy   -0.750 eV per atom

Cell lengths 8.264, 8.264, 8.264 Å; angles 109.47, 109.47, 109.47 degrees
Atoms (fractional coordinates):
1 Sn 0.875 0.250 0.625
2 Sn 0.125 0.375 0.250
3 Pm 0.000 0.000 0.861
4 Sn 0.250 0.875 0.125
5 Pm 0.139 0.639 0.639
6 Sn 0.375 0.125 0.750
7 Pm 0.000 0.000 0.361
8 Pm 0.639 0.139 0.139
9 Pm 0.500 0.861 0.500
10 Sn 0.625 0.750 0.875
11 Sn 0.750 0.625 0.375
12 Pm 0.861 0.500 0.000
13 Pm 0.361 0.500 0.000
14 Pm 0.500 0.361 0.500


[2]
## SrPm2Sn (GGA-PBE)

Data for a geometry-optimized SrPm2Sn structure.

Values from the calculation:
Electronic total energy   -4.110 eV per atom
Space-group type   No. 123
Calculated formation energy   -0.313 eV per atom

Cell lengths 4.989, 5.069, 5.069 Å; angles 90.00, 90.00, 90.00 degrees
Atoms (fractional coordinates):
1 Pm 0.000 0.000 0.500
2 Sn 0.500 0.000 0.000
3 Pm 0.000 0.500 0.000
4 Sr 0.500 0.500 0.500